one) First-principles (GGA-PBEsol) data for crystalline Rb3BaHg at its relaxed geometry, as listed in Alexandria.

abc: 8.5910 8.5910 8.5910
angles: 90.00 90.00 90.00
With the nearest neighbours (Å) after each atom.
Space group Pm-3m (No. 221)
Inequivalent atoms, fractional coordinates:
Rb 0.0000 0.0000 0.5000 x3  2 Ba 4.30
Ba 0.0000 0.0000 0.0000 x1  6 Rb 4.30
Hg 0.5000 0.5000 0.5000 x1  none within 6

---

two) First-principles (GGA-PBEsol) data for crystalline Rb3BaHg at its relaxed geometry, as listed in Alexandria.

abc: 6.9179 6.9179 6.9179
angles: 90.00 90.00 90.00
With the nearest neighbours (Å) after each atom.
Space group Pm-3m (No. 221)
Inequivalent atoms, fractional coordinates:
Rb 0.0000 0.0000 0.5000 x3  2 Hg 3.46
Ba 0.5000 0.5000 0.5000 x1  12 Rb 4.89
Hg 0.0000 0.0000 0.0000 x1  6 Rb 3.46

---

In terms of stability, two) leads; the second structure lies 43.6 kJ/mol of atoms higher.

---

one) First-principles (GGA-PBEsol) data for crystalline BaSrHg at its relaxed geometry, as listed in Alexandria.

abc: 7.8071 7.8071 7.8071
angles: 90.00 90.00 90.00
With the nearest neighbours (Å) after each atom.
Space group F-43m (No. 216)
Inequivalent atoms, fractional coordinates:
Ba 0.0000 0.0000 0.0000 x4  4 Hg 3.38, 4 Sr 3.38
Sr 0.2500 0.2500 0.2500 x4  4 Ba 3.38
Hg 0.2500 0.2500 0.7500 x4  4 Ba 3.38

---

two) First-principles (GGA-PBEsol) data for crystalline BaSrHg at its relaxed geometry, as listed in Alexandria.

abc: 4.0469 4.0469 14.4564
angles: 90.00 90.00 90.00
With the nearest neighbours (Å) after each atom.
Space group I4mm (No. 107)
Inequivalent atoms, fractional coordinates:
Ba 0.0000 0.0000 0.0000 x2  4 Hg 3.53, 1 Sr 3.83
Sr 0.0000 0.0000 0.7353 x2  4 Hg 3.36
Hg 0.0000 0.0000 0.3576 x2  4 Sr 3.36, 4 Ba 3.53

---

In terms of stability, two) leads; the second structure lies 54.5 kJ/mol of atoms higher.

---

one) First-principles (GGA-PBEsol) data for crystalline Ba2TcHg at its relaxed geometry, as listed in Alexandria.

abc: 3.7158 3.7158 29.9542
angles: 90.00 90.00 120.00
With the nearest neighbours (Å) after each atom.
Space group R-3m (No. 166, hexagonal axes)
Inequivalent atoms, fractional coordinates:
Ba 0.0000 0.0000 0.2398 x6  3 Tc 3.07
Tc 0.0000 0.0000 0.5000 x3  6 Ba 3.07
Hg 0.0000 0.0000 0.0000 x3  6 Ba 3.53, 6 Hg 3.72

---

two) First-principles (GGA-PBEsol) data for crystalline Ba2TcHg at its relaxed geometry, as listed in Alexandria.

abc: 3.6532 5.5159 11.6583
angles: 90.00 90.00 90.00
With the nearest neighbours (Å) after each atom.
Space group Imm2 (No. 44)
Inequivalent atoms, fractional coordinates:
Ba 0.0000 0.0000 0.0000 x2  4 Tc 3.35, 4 Ba 3.58-3.65, 2 Hg 3.74
Ba 0.0000 0.5000 0.1963 x2  2 Tc 3.36, 4 Hg 3.45, 4 Ba 3.58-3.65
Tc 0.0000 0.0000 0.4545 x2  2 Hg 2.73
Hg 0.0000 0.5000 0.7801 x2  2 Tc 2.73

---

In terms of stability, two) leads; the second structure lies 18.6 kJ/mol of atoms higher.

---

one) First-principles (GGA-PBEsol) data for crystalline BaTlHg at its relaxed geometry, as listed in Alexandria.

abc: 4.0040 4.0040 11.7763
angles: 90.00 90.00 90.00
With the nearest neighbours (Å) after each atom.
Space group I4mm (No. 107)
Inequivalent atoms, fractional coordinates:
Ba 0.0000 0.0000 0.0000 x2  5 Hg 3.50-3.82, 5 Tl 3.62-3.63
Tl 0.0000 0.0000 0.6916 x2  4 Hg 3.24, 4 Ba 3.62
Hg 0.0000 0.0000 0.3248 x2  4 Tl 3.24, 4 Ba 3.50

---

two) First-principles (GGA-PBEsol) data for crystalline BaTlHg at its relaxed geometry, as listed in Alexandria.

abc: 5.2007 5.2007 4.0639
angles: 90.00 90.00 120.00
With the nearest neighbours (Å) after each atom.
Space group P-6m2 (No. 187)
Inequivalent atoms, fractional coordinates:
Ba 0.0000 0.0000 0.0000 x1  6 Hg 3.63, 6 Tl 3.63
Tl 0.3333 0.6667 0.5000 x1  3 Hg 3.00
Hg 0.6667 0.3333 0.5000 x1  3 Tl 3.00

---

In terms of stability, two) leads; the second structure lies 9.3 kJ/mol of atoms higher.

---

one) First-principles (GGA-PBEsol) data for crystalline BaHg2W at its relaxed geometry, as listed in Alexandria.

abc: 4.4913 4.4913 9.8033
angles: 90.00 90.00 90.00
With the nearest neighbours (Å) after each atom.
Space group I-4m2 (No. 119)
Inequivalent atoms, fractional coordinates:
Ba 0.0000 0.0000 0.0000 x2  8 Hg 3.18-3.32, 4 W 3.32
Hg 0.0000 0.0000 0.5000 x2  4 Ba 3.18, 4 W 3.32, 4 Hg 3.32
Hg 0.0000 0.5000 0.2500 x2  4 W 3.18, 4 Hg 3.32, 4 Ba 3.32
W 0.0000 0.5000 0.7500 x2  8 Hg 3.18-3.32, 4 Ba 3.32

---

two) First-principles (GGA-PBEsol) data for crystalline BaHg2W at its relaxed geometry, as listed in Alexandria.

abc: 3.1092 3.1092 9.1960
angles: 90.00 90.00 90.00
With the nearest neighbours (Å) after each atom.
Space group P4/mmm (No. 123)
Inequivalent atoms, fractional coordinates:
Ba 0.0000 0.0000 0.0000 x1  4 Ba 3.11, 8 Hg 3.46
Hg 0.5000 0.5000 0.2910 x2  4 W 2.92, 4 Hg 3.11
W 0.0000 0.0000 0.5000 x1  8 Hg 2.92, 4 W 3.11

---

three) First-principles (GGA-PBEsol) data for crystalline BaHg2W at its relaxed geometry, as listed in Alexandria.

abc: 7.4146 7.4146 7.4146
angles: 90.00 90.00 90.00
With the nearest neighbours (Å) after each atom.
Space group F-43m (No. 216)
Inequivalent atoms, fractional coordinates:
Ba 0.0000 0.0000 0.0000 x4  4 W 3.21, 4 Hg 3.21
Hg 0.0000 0.0000 0.5000 x4  4 Hg 3.21, 4 W 3.21
Hg 0.2500 0.2500 0.7500 x4  4 Hg 3.21, 4 Ba 3.21
W 0.2500 0.2500 0.2500 x4  4 Hg 3.21, 4 Ba 3.21

---

In terms of stability, two) leads; the second structure lies 40.4 kJ/mol of atoms higher.

---

one) First-principles (GGA-PBEsol) data for crystalline BaZnHg at its relaxed geometry, as listed in Alexandria.

abc: 7.1845 7.1845 7.1845
angles: 90.00 90.00 90.00
With the nearest neighbours (Å) after each atom.
Space group F-43m (No. 216)
Inequivalent atoms, fractional coordinates:
Ba 0.0000 0.0000 0.0000 x4  4 Zn 3.11
Zn 0.2500 0.2500 0.7500 x4  4 Hg 3.11, 4 Ba 3.11
Hg 0.0000 0.0000 0.5000 x4  4 Zn 3.11

---

two) First-principles (GGA-PBEsol) data for crystalline BaZnHg at its relaxed geometry, as listed in Alexandria.

abc: 4.7880 4.7880 4.3709
angles: 90.00 90.00 120.00
With the nearest neighbours (Å) after each atom.
Space group P-6m2 (No. 187)
Inequivalent atoms, fractional coordinates:
Ba 0.0000 0.0000 0.0000 x1  6 Zn 3.52, 6 Hg 3.52
Zn 0.6667 0.3333 0.5000 x1  3 Hg 2.76
Hg 0.3333 0.6667 0.5000 x1  3 Zn 2.76

---

In terms of stability, two) leads; the second structure lies 20.7 kJ/mol of atoms higher.

---

one) First-principles (GGA-PBEsol) data for crystalline BaLaI5 at its relaxed geometry, as listed in Alexandria.

abc: 6.3187 7.8537 11.3912
angles: 88.94 73.92 86.30
With the nearest neighbours (Å) after each atom.
Space group P1 (No. 1)
Inequivalent atoms, fractional coordinates:
Ba 0.0000 0.0000 0.0000 x1  9 I 3.55-3.91
Ba 0.3446 0.4994 0.3068 x1  9 I 3.55-3.93
La 0.6223 0.5348 0.8120 x1  8 I 3.20-3.43
La 0.7806 0.0353 0.4948 x1  8 I 3.20-3.43
I 0.0583 0.5504 0.9167 x1  2 La 3.30-3.43, 1 Ba 3.64
I 0.3211 0.0506 0.3901 x1  2 La 3.30-3.43, 1 Ba 3.64
I 0.4226 0.8915 0.7262 x1  2 La 3.20-3.24, 1 Ba 3.57
I 0.4849 0.7777 0.0519 x1  1 La 3.24, 2 Ba 3.55-3.61
I 0.4882 0.2611 0.0302 x1  1 La 3.22, 1 Ba 3.56
I 0.4952 0.3918 0.5806 x1  2 La 3.20-3.24, 1 Ba 3.58
I 0.8652 0.7625 0.2765 x1  1 La 3.22, 1 Ba 3.55
I 0.8824 0.2789 0.2549 x1  1 La 3.25, 2 Ba 3.55-3.61
I 0.9257 0.1870 0.7213 x1  2 La 3.24-3.25, 1 Ba 3.61
I 0.9933 0.6871 0.5855 x1  2 La 3.24-3.25, 1 Ba 3.61

---

two) First-principles (GGA-PBEsol) data for crystalline BaLaI5 at its relaxed geometry, as listed in Alexandria.

abc: 7.8317 13.6170 11.0951
angles: 90.00 91.01 90.00
With the nearest neighbours (Å) after each atom.
Space group P2_1 (No. 4)
Inequivalent atoms, fractional coordinates:
Ba 0.0132 0.0000 0.2175 x2  7 I 3.39-3.78
Ba 0.4414 0.8115 0.6712 x2  8 I 3.51-3.69
La 0.0610 0.5735 0.3724 x2  7 I 3.11-3.28
La 0.4642 0.1726 0.8865 x2  7 I 3.12-3.34
I 0.0338 0.7147 0.5961 x2  1 La 3.15
I 0.0817 0.2526 0.7920 x2  2 La 3.23-3.34, 1 Ba 3.45
I 0.2009 0.9845 0.8335 x2  2 La 3.28-3.33, 1 Ba 3.53
I 0.2437 0.9825 0.4783 x2  1 La 3.18, 2 Ba 3.39-3.51
I 0.2464 0.6807 0.9110 x2  1 La 3.17, 1 Ba 3.48
I 0.2637 0.1943 0.1302 x2  1 La 3.16, 2 Ba 3.44-3.54
I 0.2692 0.4334 0.5410 x2  1 La 3.11
I 0.2952 0.4830 0.1651 x2  2 La 3.21-3.25, 1 Ba 3.59
I 0.4264 0.6908 0.3888 x2  2 La 3.20-3.28, 1 Ba 3.54
I 0.4411 0.8947 0.1332 x2  1 La 3.12

---

three) First-principles (GGA-PBEsol) data for crystalline BaLaI5 at its relaxed geometry, as listed in Alexandria.

abc: 8.6186 4.7629 14.8033
angles: 90.00 90.44 90.00
With the nearest neighbours (Å) after each atom.
Space group P2_1/m (No. 11)
Inequivalent atoms, fractional coordinates:
Ba 0.0595 0.2500 0.3454 x2  7 I 3.38-3.57
La 0.4254 0.7500 0.1498 x2  7 I 3.14-3.33
I 0.0581 0.7500 0.1656 x2  1 La 3.18
I 0.1757 0.2500 0.5685 x2  3 Ba 3.38-3.44
I 0.3125 0.2500 0.0142 x2  3 La 3.26-3.33
I 0.3492 0.7500 0.7917 x2  2 La 3.19
I 0.3657 0.7500 0.3586 x2  1 La 3.14

---

In terms of stability, one) leads; the second structure lies 1.9 kJ/mol of atoms higher.

---

one) First-principles (GGA-PBEsol) data for crystalline BaLiI2 at its relaxed geometry, as listed in Alexandria.

abc: 8.2065 8.2065 8.2065
angles: 90.00 90.00 90.00
With the nearest neighbours (Å) after each atom.
Space group Fm-3m (No. 225)
Inequivalent atoms, fractional coordinates:
Ba 0.0000 0.0000 0.0000 x4  8 I 3.55
Li 0.0000 0.0000 0.5000 x4  8 I 3.55
I 0.2500 0.2500 0.2500 x8  4 Ba 3.55, 4 Li 3.55

---

two) First-principles (GGA-PBEsol) data for crystalline BaLiI2 at its relaxed geometry, as listed in Alexandria.

abc: 8.2749 8.2749 7.8361
angles: 90.00 90.00 90.00
With the nearest neighbours (Å) after each atom.
Space group I-42d (No. 122)
Inequivalent atoms, fractional coordinates:
Ba 0.0000 0.0000 0.0000 x4  8 I 3.53-3.88, 2 Li 3.92
Li 0.0000 0.0000 0.5000 x4  4 I 2.71
I 0.1755 0.2500 0.6250 x8  2 Li 2.71

---

In terms of stability, two) leads; the second structure lies 5.7 kJ/mol of atoms higher.